No. 1
Compound: CaV2CuO7
Source: Alexandria
Functional: GGA+U
Structure: relaxed

```
CaV2CuO7
1.0
10.328 0.000 0.000
0.000 8.926 0.000
-0.355 0.000 10.335
Ca V Cu O
6 12 6 42
direct
0.000 0.064 0.250 Ca
0.000 0.936 0.750 Ca
0.324 0.445 0.931 Ca
0.324 0.555 0.431 Ca
0.676 0.445 0.569 Ca
0.676 0.555 0.069 Ca
0.025 0.297 0.541 V
0.025 0.703 0.041 V
0.336 0.201 0.212 V
0.336 0.253 0.618 V
0.336 0.747 0.118 V
0.336 0.799 0.712 V
0.664 0.201 0.288 V
0.664 0.253 0.882 V
0.664 0.747 0.382 V
0.664 0.799 0.788 V
0.975 0.297 0.959 V
0.975 0.703 0.459 V
0.000 0.442 0.250 Cu
0.000 0.558 0.750 Cu
0.305 0.066 0.910 Cu
0.305 0.934 0.410 Cu
0.695 0.066 0.590 Cu
0.695 0.934 0.090 Cu
0.010 0.125 0.600 O
0.010 0.875 0.100 O
0.018 0.284 0.124 O
0.018 0.716 0.624 O
0.076 0.422 0.878 O
0.076 0.578 0.378 O
0.193 0.357 0.559 O
0.193 0.643 0.059 O
0.231 0.072 0.283 O
0.231 0.928 0.783 O
0.307 0.218 0.044 O
0.307 0.782 0.544 O
0.312 0.373 0.272 O
0.312 0.627 0.772 O
0.328 0.228 0.785 O
0.328 0.772 0.285 O
0.347 0.088 0.534 O
0.347 0.912 0.034 O
0.451 0.379 0.575 O
0.451 0.621 0.075 O
0.500 0.143 0.250 O
0.500 0.857 0.750 O
0.549 0.379 0.925 O
0.549 0.621 0.425 O
0.653 0.088 0.966 O
0.653 0.912 0.466 O
0.672 0.228 0.715 O
0.672 0.772 0.215 O
0.688 0.373 0.228 O
0.688 0.627 0.728 O
0.693 0.218 0.456 O
0.693 0.782 0.956 O
0.769 0.072 0.217 O
0.769 0.928 0.717 O
0.807 0.357 0.941 O
0.807 0.643 0.441 O
0.924 0.422 0.622 O
0.924 0.578 0.122 O
0.982 0.284 0.376 O
0.982 0.716 0.876 O
0.990 0.125 0.900 O
0.990 0.875 0.400 O
```

Final energy   -6.98 eV/atom
Density   3.3 g/cm3

No. 2
Compound: Ca2CuWO6
Source: Alexandria
Functional: GGA+U
Structure: relaxed

```
Ca2CuWO6
1.0
3.795 -3.852 0.000
3.795 3.852 0.000
-3.776 0.000 4.228
Ca Cu W O
2 1 1 6
direct
0.246 0.754 0.000 Ca
0.754 0.246 0.000 Ca
0.501 0.501 0.502 Cu
0.001 0.001 0.501 W
0.174 0.174 0.353 O
0.252 0.751 0.503 O
0.291 0.291 0.940 O
0.710 0.710 0.063 O
0.751 0.252 0.503 O
0.827 0.827 0.649 O
```

Final energy   -6.66 eV/atom
Density   5.7 g/cm3
Offset from the most stable computed form   40 meV per atom

No. 3
Compound: Ca2CuWO6
Source: Alexandria
Functional: GGA+U
Structure: relaxed

```
Ca2CuWO6
1.0
5.530 0.000 0.000
0.000 5.759 0.000
-5.503 0.000 7.585
Ca Cu W O
4 2 2 12
direct
0.237 0.059 0.248 Ca
0.237 0.441 0.748 Ca
0.763 0.559 0.252 Ca
0.763 0.941 0.752 Ca
0.000 0.000 0.500 Cu
0.000 0.500 0.000 Cu
0.500 0.000 0.000 W
0.500 0.500 0.500 W
0.164 0.183 0.953 O
0.164 0.317 0.453 O
0.268 0.717 0.947 O
0.268 0.783 0.447 O
0.347 0.035 0.751 O
0.347 0.465 0.251 O
0.653 0.535 0.749 O
0.653 0.965 0.249 O
0.732 0.217 0.553 O
0.732 0.283 0.053 O
0.836 0.683 0.547 O
0.836 0.817 0.047 O
```

Final energy   -6.70 eV/atom
Density   5.8 g/cm3
Offset from the most stable computed form   0 meV per atom

Which of these has the lowest final energy?
CaV2CuO7

Copy entry 3 word for word.
Compound: Ca2CuWO6
Source: Alexandria
Functional: GGA+U
Structure: relaxed

```
Ca2CuWO6
1.0
5.530 0.000 0.000
0.000 5.759 0.000
-5.503 0.000 7.585
Ca Cu W O
4 2 2 12
direct
0.237 0.059 0.248 Ca
0.237 0.441 0.748 Ca
0.763 0.559 0.252 Ca
0.763 0.941 0.752 Ca
0.000 0.000 0.500 Cu
0.000 0.500 0.000 Cu
0.500 0.000 0.000 W
0.500 0.500 0.500 W
0.164 0.183 0.953 O
0.164 0.317 0.453 O
0.268 0.717 0.947 O
0.268 0.783 0.447 O
0.347 0.035 0.751 O
0.347 0.465 0.251 O
0.653 0.535 0.749 O
0.653 0.965 0.249 O
0.732 0.217 0.553 O
0.732 0.283 0.053 O
0.836 0.683 0.547 O
0.836 0.817 0.047 O
```

Final energy   -6.70 eV/atom
Density   5.8 g/cm3
Offset from the most stable computed form   0 meV per atom